No. 1
## YFe2Ru (PBE-GGA)

Data for YFe2Ru after structural relaxation.

The calculation puts the formation energy at 6 kJ/mol of atoms. For the size of the total moment, the calculation gives 1.052 μB/atom. Its density of states at the Fermi level is 1.1542 states/eV per atom.

The space group is R3m (No. 160, hexagonal axes) and the conventional cell measures 4.1529, 4.1529 and 14.6248 Å, with angles of 90.00, 90.00 and 120.00 degrees. The asymmetric unit holds Y at (0.0000, 0.0000, 0.0000), Fe at (0.0000, 0.0000, 0.1959), Fe at (0.0000, 0.0000, 0.4902) and Ru at (0.0000, 0.0000, 0.8075).

***

No. 2
## MnCu5Ni8 (PBE-GGA)

Data for MnCu5Ni8 after structural relaxation.

The calculation puts the formation energy at 24 kJ/mol of atoms. For the size of the total moment, the calculation gives 0.492 μB/atom. Its density of states at the Fermi level is 1.6394 states/eV per atom.

The space group is I-4 (No. 82) and the conventional cell measures 6.665, 6.665 and 7.742 Å, with angles of 90.00, 90.00 and 90.00 degrees. The asymmetric unit holds Mn at (0.000, 0.000, 0.000), Cu at (0.000, 0.500, 0.250), Cu at (0.140, 0.716, 0.686), Ni at (0.075, 0.832, 0.380) and Ni at (0.089, 0.659, 0.992).

***

No. 3
## HfScMoPt (PBE-GGA)

Data for HfScMoPt after structural relaxation.

The calculation puts the formation energy at -55 kJ/mol of atoms. For the size of the total moment, the calculation gives 0.000 μB/atom. Its density of states at the Fermi level is 0.9556 states/eV per atom.

The space group is F-43m (No. 216) and the conventional cell measures 6.574, 6.574 and 6.574 Å, with angles of 90.00, 90.00 and 90.00 degrees. The asymmetric unit holds Hf at (0.000, 0.000, 0.000), Sc at (0.000, 0.000, 0.500), Mo at (0.250, 0.250, 0.750) and Pt at (0.250, 0.250, 0.250).

***

No. 4
## ZnIn8 (PBE-GGA)

Data for ZnIn8 after structural relaxation.

The calculation puts the formation energy at 5 kJ/mol of atoms. For the size of the total moment, the calculation gives 0.000 μB/atom. Its density of states at the Fermi level is 0.2590 states/eV per atom.

The space group is I4/mmm (No. 139) and the conventional cell measures 10.226, 10.226 and 4.460 Å, with angles of 90.00, 90.00 and 90.00 degrees. The asymmetric unit holds Zn at (0.000, 0.000, 0.000), In at (0.000, 0.329, 0.000) and In at (0.160, 0.160, 0.500).

***

No. 5
## Nd4PCl5 (PBE-GGA)

Data for Nd4PCl5 after structural relaxation.

For the size of the total moment, the calculation gives 0.000 μB/atom. The value obtained for the uncorrected energy is -105.547 eV per cell. Its density of states at the Fermi level is 0.2867 states/eV per atom.

The space group is C2/m (No. 12) and the conventional cell measures 18.035, 4.066 and 8.272 Å, with angles of 90.00, 104.48 and 90.00 degrees. The asymmetric unit holds Nd at (0.000, 0.000, 0.228), Nd at (0.154, 0.500, 0.091), P at (0.000, 0.500, 0.000), Cl at (0.000, 0.500, 0.500), Cl at (0.166, 0.000, 0.336) and Cl at (0.171, 0.000, 0.851).

***

No. 6
## YB4Ir4 (PBE-GGA)

Data for YB4Ir4 after structural relaxation.

The calculation puts the formation energy at -53 kJ/mol of atoms. For the size of the total moment, the calculation gives 0.000 μB/atom. Its density of states at the Fermi level is 0.3262 states/eV per atom.

The space group is P4_2/n (No. 86, origin choice 2) and the conventional cell measures 7.647, 7.647 and 3.991 Å, with angles of 90.00, 90.00 and 90.00 degrees. The asymmetric unit holds Y at (0.250, 0.250, 0.250), B at (0.028, 0.908, 0.139) and Ir at (0.090, 0.641, 0.137).